a | {
  "formula": "Ac2BrN2",
  "functional": "PBE-GGA",
  "state": "relaxed",
  "sg": "P-3m1 (164)",
  "magmom_total_mub_per_cell": 0.003,
  "cell": [[4.230, 0.000, 0.000], [-2.115, 3.663, 0.000], [0.000, 0.000, 8.073]],
  "species": ["Ac", "Ac", "Br", "N", "N"],
  "frac_coords": [[0.333, 0.667, 0.308], [0.667, 0.333, 0.692], [0.000, 0.000, 0.000], [0.333, 0.667, 0.622], [0.667, 0.333, 0.378]]
}


b | {
  "formula": "Ac2BrN2",
  "functional": "PBE-GGA",
  "state": "relaxed",
  "sg": "P-3m1 (164)",
  "magmom_total_mub_per_cell": 0.266,
  "cell": [[5.232, 0.000, 0.000], [-2.616, 4.531, 0.000], [0.000, 0.000, 4.901]],
  "species": ["Ac", "Ac", "Br", "N", "N"],
  "frac_coords": [[0.333, 0.667, 0.243], [0.667, 0.333, 0.757], [0.000, 0.000, 0.000], [0.333, 0.667, 0.724], [0.667, 0.333, 0.276]]
}


Energies relative to the most stable structure, in eV/atom: a 0.000; b 0.362.